Record 1
# GdGeSO

A relaxed GdGeSO crystal (PBE, OQMD).

Summary:
- total moment (μB/f.u.) = 0.000
- crystal system = orthorhombic

```
data_GdGeSO
_chemical_formula_sum 'Gd8 Ge8 S8 O8'
_symmetry_space_group_name_H-M 'P b c a'
_symmetry_Int_Tables_number 61
_symmetry_space_group_name_Hall '-P 2ac 2ab'
_cell_length_a 6.404
_cell_length_b 13.800
_cell_length_c 7.634
_cell_angle_alpha 90.00
_cell_angle_beta 90.00
_cell_angle_gamma 90.00
loop_
_atom_site_label
_atom_site_type_symbol
_atom_site_fract_x
_atom_site_fract_y
_atom_site_fract_z
Gd1 Gd 0.168 0.220 0.121
Ge1 Ge 0.182 0.517 0.444
S1 S 0.011 0.574 0.173
O1 O 0.166 0.736 0.864
```

***

Record 2
# HfRePO

A relaxed HfRePO crystal (PBE, OQMD).

Summary:
- total moment (μB/f.u.) = 0.001
- crystal system = orthorhombic

```
data_HfRePO
_chemical_formula_sum 'Hf2 Re2 P2 O2'
_symmetry_space_group_name_H-M 'P m c 21'
_symmetry_Int_Tables_number 26
_symmetry_space_group_name_Hall 'P 2c -2'
_cell_length_a 3.915
_cell_length_b 6.102
_cell_length_c 5.220
_cell_angle_alpha 90.00
_cell_angle_beta 90.00
_cell_angle_gamma 90.00
loop_
_atom_site_label
_atom_site_type_symbol
_atom_site_fract_x
_atom_site_fract_y
_atom_site_fract_z
Hf1 Hf 0.000 0.167 0.000
Re1 Re 0.500 0.433 0.691
P1 P 0.000 0.256 0.515
O1 O 0.500 0.249 0.047
```

***

Record 3
# HfInTc2

A relaxed HfInTc2 crystal (PBE, OQMD).

Summary:
- total moment (μB/f.u.) = 0.009
- crystal system = cubic

```
data_HfInTc2
_chemical_formula_sum 'Hf4 In4 Tc8'
_symmetry_space_group_name_H-M 'F -4 3 m'
_symmetry_Int_Tables_number 216
_symmetry_space_group_name_Hall 'F -4 2 3'
_cell_length_a 6.544
_cell_length_b 6.544
_cell_length_c 6.544
_cell_angle_alpha 90.00
_cell_angle_beta 90.00
_cell_angle_gamma 90.00
loop_
_atom_site_label
_atom_site_type_symbol
_atom_site_fract_x
_atom_site_fract_y
_atom_site_fract_z
Hf1 Hf 0.000 0.000 0.000
In1 In 0.250 0.250 0.750
Tc1 Tc 0.000 0.000 0.500
Tc2 Tc 0.250 0.250 0.250
```

***

Record 4
# Nd3In3PtAu2

A relaxed Nd3In3PtAu2 crystal (PBE, OQMD).

Summary:
- total moment (μB/f.u.) = 0.001
- crystal system = hexagonal

```
data_Nd3In3PtAu2
_chemical_formula_sum 'Nd3 In3 Pt1 Au2'
_symmetry_space_group_name_H-M 'P -6 2 m'
_symmetry_Int_Tables_number 189
_symmetry_space_group_name_Hall 'P -6 -2'
_cell_length_a 7.8344
_cell_length_b 7.8344
_cell_length_c 4.1181
_cell_angle_alpha 90.00
_cell_angle_beta 90.00
_cell_angle_gamma 120.00
loop_
_atom_site_label
_atom_site_type_symbol
_atom_site_fract_x
_atom_site_fract_y
_atom_site_fract_z
Nd1 Nd 0.0000 0.5935 0.0000
In1 In 0.0000 0.2484 0.5000
Pt1 Pt 0.0000 0.0000 0.0000
Au1 Au 0.3333 0.6667 0.5000
```

***

Record 5
# Er3Cd3Ag2Au

A relaxed Er3Cd3Ag2Au crystal (PBE, OQMD).

Summary:
- total moment (μB/f.u.) = 0.020
- crystal system = hexagonal

```
data_Er3Cd3Ag2Au
_chemical_formula_sum 'Er3 Cd3 Ag2 Au1'
_symmetry_space_group_name_H-M 'P -6 2 m'
_symmetry_Int_Tables_number 189
_symmetry_space_group_name_Hall 'P -6 -2'
_cell_length_a 7.7897
_cell_length_b 7.7897
_cell_length_c 3.9097
_cell_angle_alpha 90.00
_cell_angle_beta 90.00
_cell_angle_gamma 120.00
loop_
_atom_site_label
_atom_site_type_symbol
_atom_site_fract_x
_atom_site_fract_y
_atom_site_fract_z
Er1 Er 0.0000 0.3981 0.0000
Cd1 Cd 0.0000 0.7337 0.5000
Ag1 Ag 0.3333 0.6667 0.5000
Au1 Au 0.0000 0.0000 0.0000
```

***

Record 6
# SrPmSi

A relaxed SrPmSi crystal (PBE, OQMD).

Summary:
- total moment (μB/f.u.) = 0.001
- crystal system = cubic

```
data_SrPmSi
_chemical_formula_sum 'Sr4 Pm4 Si4'
_symmetry_space_group_name_H-M 'F -4 3 m'
_symmetry_Int_Tables_number 216
_symmetry_space_group_name_Hall 'F -4 2 3'
_cell_length_a 7.286
_cell_length_b 7.286
_cell_length_c 7.286
_cell_angle_alpha 90.00
_cell_angle_beta 90.00
_cell_angle_gamma 90.00
loop_
_atom_site_label
_atom_site_type_symbol
_atom_site_fract_x
_atom_site_fract_y
_atom_site_fract_z
Sr1 Sr 0.000 0.000 0.000
Pm1 Pm 0.000 0.000 0.500
Si1 Si 0.250 0.250 0.750
```

***

Record 7
# Au

A relaxed Au crystal (PBE, OQMD).

Summary:
- crystal system = trigonal

```
data_Au
_chemical_formula_sum 'Au3'
_symmetry_space_group_name_H-M 'R -3 m'
_symmetry_Int_Tables_number 166
_symmetry_space_group_name_Hall '-R 3 2"'
_cell_length_a 3.0918
_cell_length_b 3.0918
_cell_length_c 6.4847
_cell_angle_alpha 90.00
_cell_angle_beta 90.00
_cell_angle_gamma 120.00
loop_
_atom_site_label
_atom_site_type_symbol
_atom_site_fract_x
_atom_site_fract_y
_atom_site_fract_z
Au1 Au 0.0000 0.0000 0.0000
```

***

Record 8
# Ag2Te2O5

A relaxed Ag2Te2O5 crystal (PBE, OQMD).

Summary:
- crystal system = tetragonal

```
data_Ag2Te2O5
_chemical_formula_sum 'Ag2 Te2 O5'
_symmetry_space_group_name_H-M 'P 4/m m m'
_symmetry_Int_Tables_number 123
_symmetry_space_group_name_Hall '-P 4 2'
_cell_length_a 3.525
_cell_length_b 3.525
_cell_length_c 10.094
_cell_angle_alpha 90.00
_cell_angle_beta 90.00
_cell_angle_gamma 90.00
loop_
_atom_site_label
_atom_site_type_symbol
_atom_site_fract_x
_atom_site_fract_y
_atom_site_fract_z
Ag1 Ag 0.000 0.000 0.226
Te1 Te 0.500 0.500 0.000
Te2 Te 0.500 0.500 0.500
O1 O 0.000 0.000 0.000
O2 O 0.000 0.500 0.382
```

***

Record 9
# PaGaAg

A relaxed PaGaAg crystal (PBE, OQMD).

Summary:
- total moment (μB/f.u.) = 0.662
- crystal system = cubic

```
data_PaGaAg
_chemical_formula_sum 'Pa4 Ga4 Ag4'
_symmetry_space_group_name_H-M 'F -4 3 m'
_symmetry_Int_Tables_number 216
_symmetry_space_group_name_Hall 'F -4 2 3'
_cell_length_a 6.818
_cell_length_b 6.818
_cell_length_c 6.818
_cell_angle_alpha 90.00
_cell_angle_beta 90.00
_cell_angle_gamma 90.00
loop_
_atom_site_label
_atom_site_type_symbol
_atom_site_fract_x
_atom_site_fract_y
_atom_site_fract_z
Pa1 Pa 0.000 0.000 0.000
Ga1 Ga 0.250 0.250 0.250
Ag1 Ag 0.250 0.250 0.750
```

***

Record 10
# NdRe2O6

A relaxed NdRe2O6 crystal (PBE, OQMD).

Summary:
- total moment (μB/f.u.) = 0.006
- crystal system = tetragonal

```
data_NdRe2O6
_chemical_formula_sum 'Nd1 Re2 O6'
_symmetry_space_group_name_H-M 'P 4/m m m'
_symmetry_Int_Tables_number 123
_symmetry_space_group_name_Hall '-P 4 2'
_cell_length_a 3.893
_cell_length_b 3.893
_cell_length_c 7.725
_cell_angle_alpha 90.00
_cell_angle_beta 90.00
_cell_angle_gamma 90.00
loop_
_atom_site_label
_atom_site_type_symbol
_atom_site_fract_x
_atom_site_fract_y
_atom_site_fract_z
Nd1 Nd 0.000 0.000 0.000
Re1 Re 0.500 0.500 0.263
O1 O 0.000 0.500 0.227
O2 O 0.500 0.500 0.000
O3 O 0.500 0.500 0.500
```

***

Record 11
# K3As4HAu2O14

A relaxed K3As4HAu2O14 crystal (PBE, OQMD).

Summary:
- crystal system = triclinic

```
data_K3As4HAu2O14
_chemical_formula_sum 'K3 As4 H1 Au2 O14'
_symmetry_space_group_name_H-M 'P -1'
_symmetry_Int_Tables_number 2
_symmetry_space_group_name_Hall '-P 1'
_cell_length_a 5.737
_cell_length_b 5.821
_cell_length_c 12.940
_cell_angle_alpha 88.83
_cell_angle_beta 78.16
_cell_angle_gamma 61.25
loop_
_atom_site_label
_atom_site_type_symbol
_atom_site_fract_x
_atom_site_fract_y
_atom_site_fract_z
K1 K 0.000 0.000 0.000
K2 K 0.206 0.146 0.435
As1 As 0.415 0.533 0.648
As2 As 0.429 0.296 0.864
H1 H 0.500 0.500 0.000
Au1 Au 0.007 0.258 0.731
O1 O 0.226 0.904 0.177
O2 O 0.233 0.646 0.386
O3 O 0.271 0.126 0.840
O4 O 0.278 0.345 0.617
O5 O 0.290 0.828 0.601
O6 O 0.326 0.583 0.791
O7 O 0.336 0.430 0.992
```

***

Record 12
# NdTlPt

A relaxed NdTlPt crystal (PBE, OQMD).

Summary:
- total moment (μB/f.u.) = 0.170
- crystal system = cubic

```
data_NdTlPt
_chemical_formula_sum 'Nd4 Tl4 Pt4'
_symmetry_space_group_name_H-M 'F -4 3 m'
_symmetry_Int_Tables_number 216
_symmetry_space_group_name_Hall 'F -4 2 3'
_cell_length_a 6.865
_cell_length_b 6.865
_cell_length_c 6.865
_cell_angle_alpha 90.00
_cell_angle_beta 90.00
_cell_angle_gamma 90.00
loop_
_atom_site_label
_atom_site_type_symbol
_atom_site_fract_x
_atom_site_fract_y
_atom_site_fract_z
Nd1 Nd 0.000 0.000 0.000
Tl1 Tl 0.250 0.250 0.250
Pt1 Pt 0.000 0.000 0.500
```

***

no.,VASP energy (eV per cell)
1,-199.1
2,-73.3
3,-130.6
4,-42.4
5,-29.0
6,-51.0
7,-9.7
8,-37.6
9,-54.9
10,-76.6
11,-128.4
12,-54.8